Entry 1:
First-principles (PBE) data for an optimized crystal structure of Pr4CuSiBr2, as listed in the Alexandria database.

Computed properties:
- Total magnetization: 0.00 μB/f.u.
- Crystal system: monoclinic
- E_form (uncorrected): -81.74 kJ per mole of atoms
- DFT total energy: -4.84 eV/atom

Lattice parameters (Å, degrees): 4.2051 7.5009 7.6857 107.67 90.00 90.00
Last column: nearest neighbours and their distance in Å.
Element x y z (fractional)
Pr  0.5000  0.2337  0.2152  2 Cu 2.91, 1 Si 2.95, 3 Br 3.19-3.25
Pr  0.5000  0.7663  0.7848  2 Cu 2.91, 1 Si 2.95, 3 Br 3.19-3.25
Pr  0.0000  0.2644  0.7800  2 Si 2.93, 1 Cu 2.97, 3 Br 3.17-3.22
Pr  0.0000  0.7356  0.2200  2 Si 2.93, 1 Cu 2.97, 3 Br 3.17-3.22
Cu  0.0000  0.0000  0.0000  6 Pr 2.91-2.97
Si  0.5000  0.5000  0.0000  6 Pr 2.93-2.95
Br  0.5000  0.0000  0.5000  6 Pr 3.19-3.22
Br  0.0000  0.5000  0.5000  6 Pr 3.17-3.25


Entry 2:
First-principles (PBE) data for an optimized crystal structure of CaCrIr2, as listed in the Alexandria database.

Computed properties:
- ΔE to the lowest computed polymorph: 374 meV/atom
- Total magnetization: 2.82 μB/f.u.
- Crystal system: tetragonal
- Formation enthalpy at 0 K: 245 meV/atom
- DFT total energy: -7.09 eV/atom

Lattice parameters (Å, degrees): 5.0406 5.0406 5.0406 133.15 133.15 68.42
Last column: nearest neighbours and their distance in Å.
Element x y z (fractional)
Cr  0.7500  0.2500  0.5000  8 Ir 2.83-2.89, 4 Ca 2.89
Ca  0.5000  0.5000  0.0000  8 Ir 2.83-2.89, 4 Cr 2.89
Ir  0.0000  0.0000  0.0000  4 Ca 2.83, 4 Cr 2.89, 4 Ir 2.89
Ir  0.2500  0.7500  0.5000  4 Cr 2.83, 4 Ir 2.89, 4 Ca 2.89


Entry 3:
First-principles (PBE) data for an optimized crystal structure of Li2CoSi, as listed in the Alexandria database.

Computed properties:
- Total magnetization: 0.97 μB/f.u.
- Crystal system: tetragonal
- E_form (uncorrected): 16.47 kJ per mole of atoms
- DFT total energy: -3.92 eV/atom

Lattice parameters (Å, degrees): 6.8423 6.8423 5.3450 50.20 50.20 90.00
Last column: nearest neighbours and their distance in Å.
Element x y z (fractional)
Si  0.5000  0.5000  0.0000  2 Co 2.27, 4 Li 2.54
Si  0.2500  0.7500  0.5000  2 Co 2.27, 4 Li 2.54
Co  0.0000  0.0000  0.0000  2 Si 2.27, 4 Li 2.43
Co  0.7500  0.2500  0.5000  2 Si 2.27, 4 Li 2.43
Li  0.6372  0.1250  0.2500  2 Li 2.28, 2 Co 2.43, 2 Si 2.54
Li  0.1128  0.6250  0.2500  2 Li 2.28, 2 Co 2.43, 2 Si 2.54
Li  0.3750  0.3628  0.7500  2 Li 2.28, 2 Co 2.43, 2 Si 2.54
Li  0.8750  0.8872  0.7500  2 Li 2.28, 2 Co 2.43, 2 Si 2.54


Entry 4:
First-principles (PBE) data for an optimized crystal structure of TlSeCl2, as listed in the Alexandria database.

Computed properties:
- ΔE to the lowest computed polymorph: 204 meV/atom
- Total magnetization: 0.00 μB/f.u.
- Crystal system: monoclinic
- E_form (uncorrected): -17.74 kJ per mole of atoms
- DFT total energy: -2.57 eV/atom

Lattice parameters (Å, degrees): 5.3036 5.3473 5.2739 65.24 81.39 114.97
Last column: nearest neighbours and their distance in Å.
Element x y z (fractional)
Tl  0.5000  0.5000  0.0000  4 Cl 2.86
Se  0.0000  0.5000  0.5000  4 Cl 2.86
Cl  0.0000  0.0000  0.0000  2 Se 2.86, 2 Tl 2.86
Cl  0.5000  0.0000  0.5000  2 Tl 2.86, 2 Se 2.86


Entry 5:
First-principles (PBE) data for an optimized crystal structure of RbAg2Cl2, as listed in the Alexandria database.

Computed properties:
- ΔE to the lowest computed polymorph: 0 meV/atom
- Total magnetization: 0.00 μB/f.u.
- Crystal system: tetragonal
- E_form (uncorrected): -65.99 kJ per mole of atoms
- DFT total energy: -2.76 eV/atom

Lattice parameters (Å, degrees): 4.0710 4.0710 8.5487 76.23 76.23 90.00
Last column: nearest neighbours and their distance in Å.
Element x y z (fractional)
Rb  0.0000  0.0000  0.0000  8 Cl 3.42
Ag  0.7500  0.2500  0.5000  4 Ag 2.88, 4 Cl 2.99
Ag  0.2500  0.7500  0.5000  4 Ag 2.88, 4 Cl 2.99
Cl  0.3857  0.3857  0.2287  4 Ag 2.99
Cl  0.6143  0.6143  0.7713  4 Ag 2.99


Entry 6:
First-principles (PBE) data for an optimized crystal structure of SrOsSeBr2, as listed in the Alexandria database.

Computed properties:
- ΔE to the lowest computed polymorph: 0 meV/atom
- Total magnetization: 0.00 μB/f.u.
- Crystal system: tetragonal
- E_form (uncorrected): -35.78 kJ per mole of atoms
- DFT total energy: -4.32 eV/atom

Lattice parameters (Å, degrees): 5.2535 5.2535 4.8172 90.00 90.00 90.00
Last column: nearest neighbours and their distance in Å.
Element x y z (fractional)
Sr  0.5000  0.5000  0.5000  8 Br 3.56, 4 Se 3.71
Os  0.0000  0.0000  0.0000  2 Se 2.41, 4 Br 2.63
Se  0.0000  0.0000  0.5000  2 Os 2.41
Br  0.0000  0.5000  0.0000  2 Os 2.63
Br  0.5000  0.0000  0.0000  2 Os 2.63


Q: The lowest DFT total energy belongs to which entry?
A: CaCrIr2


What did the sixth record say?
First-principles (PBE) data for an optimized crystal structure of SrOsSeBr2, as listed in the Alexandria database.

Computed properties:
- ΔE to the lowest computed polymorph: 0 meV/atom
- Total magnetization: 0.00 μB/f.u.
- Crystal system: tetragonal
- E_form (uncorrected): -35.78 kJ per mole of atoms
- DFT total energy: -4.32 eV/atom

Lattice parameters (Å, degrees): 5.2535 5.2535 4.8172 90.00 90.00 90.00
Last column: nearest neighbours and their distance in Å.
Element x y z (fractional)
Sr  0.5000  0.5000  0.5000  8 Br 3.56, 4 Se 3.71
Os  0.0000  0.0000  0.0000  2 Se 2.41, 4 Br 2.63
Se  0.0000  0.0000  0.5000  2 Os 2.41
Br  0.0000  0.5000  0.0000  2 Os 2.63
Br  0.5000  0.0000  0.0000  2 Os 2.63